[1]
{"formula": "SrAgC2", "functional": "meta-GGA SCAN", "state": "single point on PBEsol structure", "lattice_angstrom": [[4.221, 0.000, 0.000], [0.000, 4.221, 0.000], [0.000, 0.000, 14.618]], "species": ["Sr", "Sr", "Sr", "Sr", "Ag", "Ag", "Ag", "Ag", "C", "C", "C", "C", "C", "C", "C", "C"], "frac_coords": [[0.000, 0.250, 0.375], [0.000, 0.750, 0.625], [0.500, 0.250, 0.125], [0.500, 0.750, 0.875], [0.000, 0.250, 0.875], [0.000, 0.750, 0.125], [0.500, 0.250, 0.625], [0.500, 0.750, 0.375], [0.000, 0.000, 0.000], [0.000, 0.500, 0.000], [0.250, 0.250, 0.750], [0.250, 0.750, 0.250], [0.500, 0.000, 0.500], [0.500, 0.500, 0.500], [0.750, 0.250, 0.750], [0.750, 0.750, 0.250]], "formation_energy_ev_per_atom": 1.420, "dos_ef_per_ev_atom": 0.3551, "e_above_lowest_polymorph_kj_per_mol_atoms": 0.0, "total_energy_ev_per_cell": -272.7, "space_group": "I4_1/amd, No. 141"}

[2]
{"formula": "ScP2O2", "functional": "meta-GGA SCAN", "state": "single point on PBEsol structure", "lattice_angstrom": [[3.562, 0.000, 0.000], [0.000, 3.562, 0.000], [0.000, 0.000, 5.227]], "species": ["Sc", "P", "P", "O", "O"], "frac_coords": [[0.000, 0.000, 0.000], [0.000, 0.500, 0.500], [0.500, 0.000, 0.500], [0.500, 0.500, 0.000], [0.500, 0.500, 0.500]], "dos_ef_per_ev_atom": 0.4629, "e_form_raw_ev_per_fu": -2.58, "total_energy_ev_per_cell": -50.1, "space_group": "P4/mmm, No. 123"}

[3]
{"formula": "Cd2TeRh", "functional": "meta-GGA SCAN", "state": "single point on PBEsol structure", "lattice_angstrom": [[4.149, 0.000, 0.000], [0.000, 4.149, 0.000], [0.000, 0.000, 4.471]], "species": ["Cd", "Cd", "Te", "Rh"], "frac_coords": [[0.000, 0.500, 0.000], [0.500, 0.000, 0.000], [0.000, 0.000, 0.500], [0.500, 0.500, 0.500]], "dos_ef_per_ev_atom": 0.3639, "e_form_raw_ev_per_fu": 0.18, "total_energy_ev_per_cell": -131.7, "space_group": "P4/mmm, No. 123"}

[4]
{"formula": "ZrScIn2", "functional": "meta-GGA SCAN", "state": "single point on PBEsol structure", "lattice_angstrom": [[3.148, 0.000, 0.000], [0.000, 4.307, 0.000], [0.000, 0.000, 6.256]], "species": ["Zr", "Sc", "In", "In"], "frac_coords": [[0.000, 0.000, 0.000], [0.000, 0.000, 0.500], [0.500, 0.500, 0.252], [0.500, 0.500, 0.748]], "formation_energy_ev_per_atom": -0.524, "dos_ef_per_ev_atom": 0.5806, "e_above_lowest_polymorph_kj_per_mol_atoms": 0.1, "total_energy_ev_per_cell": -113.8, "space_group": "Pmmm, No. 47"}

[5]
{"formula": "PrTiGe", "functional": "meta-GGA SCAN", "state": "single point on PBEsol structure", "lattice_angstrom": [[4.104, 0.000, 0.000], [0.000, 4.104, 0.000], [0.000, 0.000, 7.793]], "species": ["Pr", "Pr", "Ti", "Ti", "Ge", "Ge"], "frac_coords": [[0.250, 0.250, 0.151], [0.750, 0.750, 0.849], [0.250, 0.750, 0.500], [0.750, 0.250, 0.500], [0.250, 0.250, 0.723], [0.750, 0.750, 0.277]], "formation_energy_ev_per_atom": -0.708, "dos_ef_per_ev_atom": 0.8625, "total_energy_ev_per_cell": -161.1, "space_group": "P4/nmm, No. 129"}

[6]
{"formula": "Na3Zn", "functional": "meta-GGA SCAN", "state": "single point on PBEsol structure", "lattice_angstrom": [[6.822, 0.000, 0.000], [-3.411, 5.908, 0.000], [0.000, 0.000, 5.378]], "species": ["Na", "Na", "Na", "Na", "Na", "Na", "Zn", "Zn"], "frac_coords": [[0.175, 0.349, 0.250], [0.175, 0.825, 0.250], [0.349, 0.175, 0.750], [0.651, 0.825, 0.250], [0.825, 0.175, 0.750], [0.825, 0.651, 0.750], [0.333, 0.667, 0.750], [0.667, 0.333, 0.250]], "formation_energy_ev_per_atom": 0.075, "dos_ef_per_ev_atom": 0.3894, "total_energy_ev_per_cell": -51.7, "space_group": "P6_3/mmc, No. 194"}

[7]
{"formula": "TaTiAsSe2", "functional": "meta-GGA SCAN", "state": "single point on PBEsol structure", "lattice_angstrom": [[4.914, 0.000, 0.000], [0.000, 4.914, 0.000], [0.000, 0.000, 4.955]], "species": ["Ta", "Ti", "As", "Se", "Se"], "frac_coords": [[0.000, 0.000, 0.000], [0.500, 0.500, 0.500], [0.000, 0.000, 0.500], [0.000, 0.500, 0.000], [0.500, 0.000, 0.000]], "dos_ef_per_ev_atom": 0.5082, "e_form_raw_ev_per_fu": 0.66, "e_above_lowest_polymorph_kj_per_mol_atoms": 0.0, "total_energy_ev_per_cell": -142.3, "space_group": "P4/mmm, No. 123"}

[8]
{"formula": "AsP2Pb", "functional": "meta-GGA SCAN", "state": "single point on PBEsol structure", "lattice_angstrom": [[3.267, 0.000, 0.000], [0.000, 5.318, 0.000], [0.000, 0.000, 9.103]], "species": ["As", "As", "P", "P", "P", "P", "Pb", "Pb"], "frac_coords": [[0.000, 0.000, 0.000], [0.500, 0.500, 0.500], [0.000, 0.000, 0.607], [0.000, 0.500, 0.281], [0.500, 0.000, 0.781], [0.500, 0.500, 0.107], [0.000, 0.500, 0.811], [0.500, 0.000, 0.311]], "formation_energy_ev_per_atom": 0.406, "dos_ef_per_ev_atom": 0.3255, "e_above_lowest_polymorph_kj_per_mol_atoms": 15.9, "total_energy_ev_per_cell": -230.3, "space_group": "Imm2, No. 44"}